Record 1
A plane-wave DFT calculation with PBE was carried out for an optimized crystal structure of Ta2IrCl.

Cell: 2.9143 2.9263 8.0955 Å, 90.00 90.00 90.00°
Element x y z (fractional)
Ta (0.0000, 0.0000, 0.2337)
Ta (0.0000, 0.0000, 0.7663)
Ir (0.5000, 0.5000, 0.0000)
Cl (0.5000, 0.0000, 0.5000)

Summary:
Relative energy among the computed polymorphs, eV/atom: 0.035
D(E_F), states/eV/f.u.: 4.1
SG: Pmmm, No. 47
Energy relative to the elements, uncorrected, eV per atom: -0.137
Electronic total energy, eV for the cell shown: -34.96


Record 2
A plane-wave DFT calculation with PBE was carried out for an optimized crystal structure of Ta2IrCl.

Cell: 2.9992 5.2554 8.6067 Å, 90.00 90.00 90.00°
Element x y z (fractional)
Ta (0.0000, 0.0000, 0.2320)
Ta (0.0000, 0.0000, 0.7680)
Ta (0.5000, 0.5000, 0.2680)
Ta (0.5000, 0.5000, 0.7320)
Ir (0.0000, 0.5000, 0.0000)
Ir (0.5000, 0.0000, 0.5000)
Cl (0.0000, 0.5000, 0.5000)
Cl (0.5000, 0.0000, 0.0000)

Summary:
Relative energy among the computed polymorphs, eV/atom: 0.538
D(E_F), states/eV/f.u.: 3.7
SG: Immm, No. 71
Energy relative to the elements, uncorrected, eV per atom: 0.366
Electronic total energy, eV for the cell shown: -65.89


Question: Which of these has the highest D(E_F)?
Answer: number 1